VASP calculation (GGA+U) on a relaxed structure of Rb3Fe2Cl3F4.

Computed properties:
- Mass density: 3.50 g/cm³
- Raw total energy: -4.39 eV/atom
- N(E_F): 0.0 states/eV per cell

a b c (Å): 4.143 5.051 12.906
angles (deg): 101.28 99.22 90.00
Fractional positions:
Rb: 0.503 0.500 0.000
Rb: 0.306 0.303 0.606
Rb: 0.700 0.697 0.394
Fe: 0.110 0.109 0.217
Fe: 0.894 0.891 0.783
Cl: 0.002 0.000 0.000
Cl: 0.105 0.602 0.204
Cl: 0.901 0.398 0.796
F: 0.394 0.891 0.782
F: 0.194 0.193 0.386
F: 0.809 0.807 0.614
F: 0.611 0.109 0.218